1.
The following is a PBE-GGA calculation of a geometry-optimized LaYB6C6 structure, from Alexandria.

abc: 4.864 4.864 4.864
angles: 90.00 90.00 90.00
Space group Pm-3 (No. 200)
Asymmetric unit:
La  0.000  0.000  0.000
Y  0.500  0.500  0.500
B  0.000  0.500  0.252
C  0.000  0.253  0.500

- Magnetization: 0.00 μB per cell
- Electronic total energy: -107.71 eV per cell
- Formation enthalpy at 0 K: -0.06 eV/atom

2.
The following is a PBE-GGA calculation of a geometry-optimized K3ScBr6 structure, from Alexandria.

abc: 7.769 8.248 13.511
angles: 90.00 124.47 90.00
Space group P2_1/c (No. 14)
Asymmetric unit:
K  0.000  0.000  0.000
K  0.215  0.079  0.746
Sc  0.500  0.000  0.500
Br  0.167  0.175  0.444
Br  0.267  0.728  0.429
Br  0.403  0.046  0.278

- Magnetization: 0.00 μB per cell
- Electronic total energy: -74.34 eV per cell
- ΔE_f (raw): -1.7508 eV/atom

3.
The following is a PBE-GGA calculation of a geometry-optimized BaSc2BeRe structure, from Alexandria.

abc: 5.177 5.177 4.406
angles: 90.00 90.00 90.00
Space group P4/mmm (No. 123)
Asymmetric unit:
Ba  0.000  0.000  0.000
Sc  0.000  0.500  0.000
Be  0.000  0.000  0.500
Re  0.500  0.500  0.500

- Magnetization: 0.00 μB per cell
- Electronic total energy: -19.11 eV per cell
- Formation enthalpy at 0 K: 2.33 eV/atom

4.
The following is a PBE-GGA calculation of a geometry-optimized RbAlGe structure, from Alexandria.

abc: 12.649 6.033 5.948
angles: 90.00 115.70 90.00
Space group C2/m (No. 12)
Asymmetric unit:
Rb  0.189  0.000  0.179
Al  0.000  0.212  0.500
Ge  0.022  0.500  0.220

- Magnetization: 0.00 μB per cell
- Electronic total energy: -36.92 eV per cell
- Formation enthalpy at 0 K: 0.03 eV/atom

5.
The following is a PBE-GGA calculation of a geometry-optimized Ca2Y2Tl structure, from Alexandria.

abc: 8.036 8.036 5.610
angles: 90.00 90.00 90.00
Space group P4/mbm (No. 127)
Asymmetric unit:
Ca  0.162  0.338  0.000
Y  0.147  0.647  0.500
Tl  0.000  0.000  0.500

- Magnetization: 3.03 μB per cell
- Offset from the most stable computed form: 0.00 kJ per mole of atoms
- Electronic total energy: -37.72 eV per cell
- Formation enthalpy at 0 K: 0.09 eV/atom

6.
The following is a PBE-GGA calculation of a geometry-optimized Th2ZnCdIr structure, from Alexandria.

abc: 6.371 4.296 9.205
angles: 90.00 96.23 90.00
Space group P2_1/m (No. 11)
Asymmetric unit:
Th  0.086  0.250  0.349
Th  0.235  0.250  0.958
Zn  0.464  0.750  0.426
Cd  0.424  0.750  0.734
Ir  0.209  0.750  0.172

- Magnetization: 0.00 μB per cell
- Electronic total energy: -55.88 eV per cell
- Formation enthalpy at 0 K: -0.41 eV/atom

7.
The following is a PBE-GGA calculation of a geometry-optimized TmSc2Cu structure, from Alexandria.

abc: 3.4300 3.4300 27.6269
angles: 90.00 90.00 120.00
Space group R3m (No. 160, hexagonal axes)
Asymmetric unit:
Tm  0.0000  0.0000  0.0000
Sc  0.0000  0.0000  0.2355
Sc  0.0000  0.0000  0.4339
Cu  0.0000  0.0000  0.8355

- Magnetization: 1.66 μB per cell
- Offset from the most stable computed form: 15.38 kJ per mole of atoms
- Electronic total energy: -63.21 eV per cell
- Formation enthalpy at 0 K: 0.04 eV/atom

8.
The following is a PBE-GGA calculation of a geometry-optimized KNbPbS4 structure, from Alexandria.

abc: 7.055 7.130 8.714
angles: 90.00 106.65 90.00
Space group P2_1/m (No. 11)
Asymmetric unit:
K  0.236  0.250  0.436
Nb  0.274  0.750  0.183
Pb  0.264  0.250  0.946
S  0.075  0.750  0.925
S  0.076  0.750  0.351
S  0.485  0.002  0.224

- Magnetization: 0.00 μB per cell
- Electronic total energy: -75.62 eV per cell
- ΔE_f (raw): -0.9180 eV/atom

| no. | N(E_F) (states/eV/atom) |
| --- | --- |
| 1 | 0.0292 |
| 2 | 0.0000 |
| 3 | 1.0705 |
| 4 | 0.3867 |
| 5 | 1.2634 |
| 6 | 0.7700 |
| 7 | 1.2477 |
| 8 | 0.0000 |